# 1
Here is a relaxed La2GaP2 crystal from Alexandria via LeMat-Bulk. Energies are from PBE-GGA.

Summary:
Formation enthalpy at 0 K (eV/atom): -1.0800
Total moment (μB/f.u.): 0.00

Cell: 7.824 7.824 3.956 Å, 90.00 90.00 90.00°
Element x y z (fractional)
P: 0.346 0.846 0.000
P: 0.846 0.654 0.000
P: 0.654 0.154 0.000
P: 0.154 0.346 0.000
Ga: 0.000 0.000 0.000
Ga: 0.500 0.500 0.000
La: 0.155 0.655 0.500
La: 0.655 0.845 0.500
La: 0.845 0.345 0.500
La: 0.345 0.155 0.500


# 2
Here is a relaxed LaGa2PPb crystal from Alexandria via LeMat-Bulk. Energies are from PBE-GGA.

Summary:
Formation enthalpy at 0 K (eV/atom): -0.0050
Total moment (μB/f.u.): 0.00

Cell: 4.850 5.656 4.850 Å, 90.00 90.00 90.00°
Element x y z (fractional)
Pb: 0.000 0.500 0.000
P: 0.000 0.000 0.000
Ga: 0.000 0.000 0.500
Ga: 0.500 0.000 0.000
La: 0.500 0.500 0.500


# 3
Here is a relaxed La2GaP3Pt4 crystal from Alexandria via LeMat-Bulk. Energies are from PBE-GGA.

Summary:
Formation enthalpy at 0 K (eV/atom): -1.0282
Total moment (μB/f.u.): 0.00

Cell: 4.287 4.287 10.053 Å, 90.00 90.00 90.00°
Element x y z (fractional)
La: 0.500 0.000 0.245
La: 0.000 0.500 0.755
Ga: 0.500 0.500 0.500
P: 0.000 0.000 0.500
P: 0.500 0.000 0.867
P: 0.000 0.500 0.133
Pt: 0.500 0.500 0.000
Pt: 0.000 0.000 0.000
Pt: 0.500 0.000 0.630
Pt: 0.000 0.500 0.370


# 4
Here is a relaxed La2GaPPt6 crystal from Alexandria via LeMat-Bulk. Energies are from PBE-GGA.

Summary:
Formation enthalpy at 0 K (eV/atom): -0.9691
Total moment (μB/f.u.): 0.00

Cell: 5.606 8.317 8.660 Å, 90.00 90.00 90.00°
Element x y z (fractional)
La: 0.500 0.727 0.258
La: 0.000 0.273 0.758
La: 0.500 0.727 0.742
La: 0.000 0.273 0.242
Ga: 0.000 0.722 0.500
Ga: 0.500 0.278 0.000
P: 0.500 0.242 0.500
P: 0.000 0.758 0.000
Pt: 0.500 0.115 0.254
Pt: 0.500 0.115 0.746
Pt: 0.000 0.885 0.246
Pt: 0.000 0.885 0.754
Pt: 0.249 0.987 0.500
Pt: 0.751 0.987 0.500
Pt: 0.251 0.472 0.500
Pt: 0.749 0.472 0.500
Pt: 0.751 0.528 0.000
Pt: 0.249 0.528 0.000
Pt: 0.251 0.013 0.000
Pt: 0.749 0.013 0.000


# 5
Here is a relaxed La2GaPRh6 crystal from Alexandria via LeMat-Bulk. Energies are from PBE-GGA.

Summary:
Formation enthalpy at 0 K (eV/atom): -0.6734
Total moment (μB/f.u.): 0.00

Cell: 6.901 6.038 8.907 Å, 90.00 90.00 90.00°
Element x y z (fractional)
La: 0.500 0.735 0.256
La: 0.000 0.265 0.756
La: 0.500 0.735 0.744
La: 0.000 0.265 0.244
Ga: 0.000 0.639 0.500
Ga: 0.500 0.361 0.000
P: 0.500 0.139 0.500
P: 0.000 0.861 0.000
Rh: 0.500 0.218 0.255
Rh: 0.500 0.218 0.745
Rh: 0.000 0.782 0.245
Rh: 0.000 0.782 0.755
Rh: 0.210 0.981 0.500
Rh: 0.790 0.981 0.500
Rh: 0.302 0.457 0.500
Rh: 0.698 0.457 0.500
Rh: 0.802 0.543 0.000
Rh: 0.198 0.543 0.000
Rh: 0.290 0.019 0.000
Rh: 0.710 0.019 0.000


# 6
Here is a relaxed La2GaP3Rh4 crystal from Alexandria via LeMat-Bulk. Energies are from PBE-GGA.

Summary:
Formation enthalpy at 0 K (eV/atom): -1.0543
Total moment (μB/f.u.): 0.00

Cell: 4.179 4.179 9.991 Å, 90.00 90.00 90.00°
Element x y z (fractional)
La: 0.500 0.000 0.253
La: 0.000 0.500 0.747
Ga: 0.500 0.500 0.500
P: 0.000 0.000 0.500
P: 0.500 0.000 0.867
P: 0.000 0.500 0.133
Rh: 0.500 0.500 0.000
Rh: 0.000 0.000 0.000
Rh: 0.500 0.000 0.631
Rh: 0.000 0.500 0.369


# 7
Here is a relaxed LaGaPS2 crystal from Alexandria via LeMat-Bulk. Energies are from PBE-GGA.

Summary:
Formation energy without anion corrections (kJ/mol of atoms): -65.9
Total moment (μB/f.u.): 0.00

Cell: 4.799 4.799 4.685 Å, 90.00 90.00 90.00°
Element x y z (fractional)
P: 0.000 0.000 0.500
S: 0.000 0.500 0.000
S: 0.500 0.000 0.000
Ga: 0.000 0.000 0.000
La: 0.500 0.500 0.500


# 8
Here is a relaxed LaGaPS2 crystal from Alexandria via LeMat-Bulk. Energies are from PBE-GGA.

Summary:
Formation energy without anion corrections (kJ/mol of atoms): -2.3
Total moment (μB/f.u.): 2.44

Cell: 5.528 5.528 5.812 Å, 90.00 90.00 90.00°
Element x y z (fractional)
P: 0.000 0.000 0.500
S: 0.000 0.500 0.000
S: 0.500 0.000 0.000
Ga: 0.500 0.500 0.500
La: 0.000 0.000 0.000


no.,final energy (eV for the cell shown)
1,-58.20
2,-20.12
3,-63.56
4,-128.46
5,-138.27
6,-69.06
7,-25.04
8,-21.74